(1)
Density functional theory data (GGA-PBE) for Ca3Zn4Si2 after structural relaxation.

## Properties
* formation energy from raw total energies: -0.378 eV per atom
* density: 3.787 Mg/m³

```
Ca3Zn4Si2
1.0
-2.335 0.117 3.589
2.201 -5.377 -0.949
6.225 4.323 3.908
Si Zn Ca
2 4 3
direct
0.605 0.210 0.272 Si
0.395 0.790 0.728 Si
0.047 0.095 0.381 Zn
0.720 0.440 0.061 Zn
0.280 0.560 0.939 Zn
0.953 0.905 0.619 Zn
0.672 0.343 0.659 Ca
0.328 0.657 0.341 Ca
0.000 0.000 0.000 Ca
```



(2)
Density functional theory data (GGA-PBE) for AcEuCuP after structural relaxation.

## Properties
* E_form: -2.192 eV per formula unit
* density: 7.755 Mg/m³

```
AcEuCuP
1.0
5.234 0.000 0.000
2.617 4.533 0.000
2.617 1.511 4.274
Eu Cu Ac P
1 1 1 1
direct
0.250 0.250 0.250 Eu
0.500 0.500 0.500 Cu
0.750 0.750 0.750 Ac
0.000 0.000 0.000 P
```



(3)
Density functional theory data (GGA-PBE) for Tc2Ni after structural relaxation.

## Properties
* relative energy among the computed polymorphs: 155 meV/atom
* E_form: 0.250 eV per formula unit
* density: 10.455 Mg/m³

```
Tc2Ni
1.0
4.530 -1.184 -0.940
-1.098 3.513 3.043
-1.780 -3.906 2.092
Ni Tc
2 4
direct
0.750 0.750 0.000 Ni
0.250 0.250 0.000 Ni
0.354 0.146 0.500 Tc
0.854 0.354 0.208 Tc
0.646 0.854 0.500 Tc
0.146 0.646 0.792 Tc
```



(4)
Density functional theory data (GGA-PBE) for H2IrRu2 after structural relaxation.

## Properties
* relative energy among the computed polymorphs: 0 meV/atom
* density: 13.598 Mg/m³

```
H2IrRu2
1.0
-0.182 -0.820 3.338
2.338 -2.479 -0.482
4.069 1.012 2.245
Ir H Ru
1 2 2
direct
0.000 0.000 0.000 Ir
0.750 0.250 0.500 H
0.250 0.750 0.500 H
0.661 0.661 0.678 Ru
0.339 0.339 0.322 Ru
```



(5)
Density functional theory data (GGA-PBE) for Ba3Li2In3 after structural relaxation.

## Properties
* relative energy among the computed polymorphs: 0 meV/atom
* E_form: -2.333 eV per formula unit
* density: 4.612 Mg/m³

```
Ba3Li2In3
1.0
-3.001 4.258 -3.813
-7.959 -1.927 4.111
3.220 13.533 12.578
In Ba Li
12 12 8
direct
0.094 0.174 0.964 In
0.406 0.674 0.964 In
0.594 0.326 0.036 In
0.094 0.174 0.536 In
0.406 0.674 0.536 In
0.910 0.824 0.750 In
0.906 0.826 0.464 In
0.906 0.826 0.036 In
0.090 0.176 0.250 In
0.410 0.676 0.250 In
0.590 0.324 0.750 In
0.594 0.326 0.464 In
0.880 0.534 0.893 Ba
0.620 0.034 0.893 Ba
0.120 0.466 0.107 Ba
0.902 0.824 0.250 Ba
0.098 0.176 0.750 Ba
0.380 0.966 0.107 Ba
0.120 0.466 0.393 Ba
0.880 0.534 0.607 Ba
0.402 0.676 0.750 Ba
0.620 0.034 0.607 Ba
0.380 0.966 0.393 Ba
0.598 0.324 0.250 Ba
0.385 0.378 0.898 Li
0.615 0.622 0.398 Li
0.115 0.878 0.898 Li
0.615 0.622 0.102 Li
0.385 0.378 0.602 Li
0.115 0.878 0.602 Li
0.885 0.122 0.398 Li
0.885 0.122 0.102 Li
```



(6)
Density functional theory data (GGA-PBE) for Li2Pm2DyGe2 after structural relaxation.

## Properties
* E_form: -3.416 eV per formula unit
* density: 6.252 Mg/m³

```
Li2Pm2DyGe2
1.0
4.440 0.000 0.000
2.220 3.845 0.000
2.220 1.282 9.518
Ge Pm Dy Li
2 2 1 2
direct
0.271 0.271 0.188 Ge
0.729 0.729 0.812 Ge
0.877 0.877 0.370 Pm
0.123 0.123 0.630 Pm
0.000 0.000 0.000 Dy
0.609 0.609 0.172 Li
0.391 0.391 0.828 Li
```



(7)
Density functional theory data (GGA-PBE) for ScSb2P after structural relaxation.

## Properties
* formation energy from raw total energies: -0.402 eV per atom
* density: 5.435 Mg/m³

```
ScSb2P
1.0
-4.789 3.754 -3.899
-2.863 1.307 -6.505
-5.876 -0.146 -4.204
Sb P Sc
2 1 1
direct
0.248 0.248 0.248 Sb
0.007 0.007 0.007 Sb
0.757 0.757 0.757 P
0.488 0.488 0.488 Sc
```



(8)
Density functional theory data (GGA-PBE) for LiCa2Y after structural relaxation.

## Properties
* relative energy among the computed polymorphs: 69 meV/atom
* E_form: 0.654 eV per formula unit
* density: 2.108 Mg/m³

```
LiCa2Y
1.0
-3.713 -4.399 -2.575
-0.188 1.769 8.119
-2.957 1.798 1.154
Ca Y Li
2 1 1
direct
0.000 0.500 0.500 Ca
0.000 0.000 0.000 Ca
0.500 0.000 0.500 Y
0.500 0.500 0.000 Li
```



(9)
Density functional theory data (GGA-PBE) for CdCu2HRh after structural relaxation.

## Properties
* calculated total energy: -4.029 eV per atom
* density: 9.433 Mg/m³

```
CdCu2HRh
1.0
-2.535 2.995 -0.827
-1.927 -0.678 3.451
2.286 2.418 1.751
Cu Cd H Rh
2 1 1 1
direct
0.500 0.000 0.000 Cu
0.000 0.500 0.000 Cu
0.500 0.500 0.500 Cd
0.000 0.000 0.000 H
0.000 0.000 0.500 Rh
```



(10)
Density functional theory data (GGA-PBE) for SnBiPt after structural relaxation.

## Properties
* relative energy among the computed polymorphs: 18 meV/atom
* E_form: -0.827 eV per formula unit
* density: 11.254 Mg/m³

```
SnBiPt
1.0
-1.659 -5.429 -0.465
2.179 -0.937 3.164
-3.768 1.113 0.453
Bi Sn Pt
1 1 1
direct
0.721 0.667 0.333 Bi
0.266 0.333 0.667 Sn
0.013 0.000 0.000 Pt
```



(11)
Density functional theory data (GGA-PBE) for SrCu12Sn7 after structural relaxation.

## Properties
* E_form: 1.266 eV per formula unit
* density: 7.679 Mg/m³

```
SrCu12Sn7
1.0
-3.966 -0.406 5.284
-4.940 1.986 -6.320
3.415 -7.485 -0.775
Sn Cu Sr
7 12 1
direct
0.799 0.351 0.000 Sn
0.448 0.649 0.649 Sn
0.799 0.000 0.351 Sn
0.500 0.000 0.000 Sn
0.552 0.351 0.351 Sn
0.201 0.000 0.649 Sn
0.201 0.649 0.000 Sn
0.268 0.268 0.536 Cu
0.622 0.642 0.000 Cu
0.000 0.268 0.732 Cu
0.268 0.536 0.268 Cu
0.000 0.732 0.268 Cu
0.980 0.358 0.358 Cu
0.732 0.732 0.464 Cu
0.622 0.000 0.642 Cu
0.378 0.000 0.358 Cu
0.378 0.358 0.000 Cu
0.732 0.464 0.732 Cu
0.020 0.642 0.642 Cu
0.000 0.000 0.000 Sr
```



(12)
Density functional theory data (GGA-PBE) for CsTl2VBr6 after structural relaxation.

## Properties
* formation energy from raw total energies: -1.022 eV per atom
* density: 4.517 Mg/m³

```
CsTl2VBr6
1.0
-0.601 -3.524 7.240
1.744 -7.840 0.836
7.038 -2.164 4.035
Br Tl Cs V
6 2 1 1
direct
0.003 0.529 0.224 Br
0.149 0.396 0.796 Br
0.244 0.003 0.225 Br
0.529 0.244 0.224 Br
0.659 0.149 0.796 Br
0.396 0.659 0.795 Br
0.011 0.011 0.966 Tl
0.529 0.529 0.414 Tl
0.814 0.814 0.556 Cs
0.327 0.327 0.018 V
```